## SbAuSI2 (GGA-PBE)

Data for a relaxed SbAuSI2 crystal.

Properties
**Energy relative to the lowest polymorph listed for this composition**: 15.2 meV/atom
**M_tot**: 0.485 μB/cell
**Uncorrected formation energy**: 0.7544 eV per atom
**SG**: P4/mmm (123)

Lattice parameters (Å, degrees): 5.5744 5.5744 5.2406 90.00 90.00 90.00
With the nearest neighbours (Å) after each atom.
Sites, in units of the cell vectors:
Au  0.5000  0.5000  0.5000  8 I 3.83, 4 Sb 3.94
Sb  0.0000  0.0000  0.5000  2 S 2.62
I  0.5000  0.0000  0.0000  2 S 2.79
I  0.0000  0.5000  0.0000  2 S 2.79
S  0.0000  0.0000  0.0000  2 Sb 2.62, 4 I 2.79